Density functional theory data (GGA-PBE) for a relaxed TaTi3Fe crystal.

Summary:
Size of the total moment, μB per formula unit: 0.00
Fermi-level density of states, states/eV/cell: 5.33
Excess energy over the best structure of this formula in the dataset, meV/atom: 534
Energy of formation, eV per atom: 0.425

Structure (extended XYZ):
```
5
Lattice="4.443 0.000 0.000 0.000 4.443 0.000 0.000 0.000 4.443" Properties=species:S:1:pos:R:3 pbc="T T T"
Ta 0.000 0.000 0.000
Ti 0.000 2.221 2.221
Ti 2.221 0.000 2.221
Ti 2.221 2.221 0.000
Fe 2.221 2.221 2.221
```

***

Density functional theory data (GGA-PBE) for a relaxed TaTi4Fe crystal.

Summary:
Size of the total moment, μB per formula unit: 0.00
Fermi-level density of states, states/eV/cell: 6.93
Excess energy over the best structure of this formula in the dataset, meV/atom: 530
Energy of formation, eV per atom: 0.442

Structure (extended XYZ):
```
6
Lattice="4.055 0.000 0.000 0.000 4.055 0.000 0.000 0.000 6.655" Properties=species:S:1:pos:R:3 pbc="T T T"
Ta 0.000 0.000 0.000
Ti 0.000 2.028 1.873
Ti 0.000 2.028 4.781
Ti 2.028 0.000 1.873
Ti 2.028 0.000 4.781
Fe 2.028 2.028 3.327
```

***

Density functional theory data (GGA-PBE) for a relaxed TaTi2Fe crystal.

Summary:
Size of the total moment, μB per formula unit: 0.00
Fermi-level density of states, states/eV/cell: 3.99
Excess energy over the best structure of this formula in the dataset, meV/atom: 0
Energy of formation, eV per atom: -0.157

Structure (extended XYZ):
```
4
Lattice="2.976 0.000 0.000 0.000 2.976 0.000 0.000 0.000 6.909" Properties=species:S:1:pos:R:3 pbc="T T T"
Ta 0.000 0.000 0.000
Ti 1.488 1.488 1.989
Ti 1.488 1.488 4.920
Fe 0.000 0.000 3.455
```

***

Density functional theory data (GGA-PBE) for a relaxed TaTi8Fe2 crystal.

Summary:
Size of the total moment, μB per formula unit: 0.00
Fermi-level density of states, states/eV/cell: 13.59
Energy of formation, eV per atom: 0.074

Structure (extended XYZ):
```
11
Lattice="3.777 -5.823 0.000 3.777 5.823 0.000 -1.044 0.000 4.168" Properties=species:S:1:pos:R:3 pbc="T T T"
Ta 0.000 0.000 0.000
Ti 0.860 1.441 2.391
Ti 3.777 3.014 0.000
Ti 0.860 -1.441 2.391
Ti 2.690 0.000 0.751
Ti 3.820 0.000 3.416
Ti 5.650 1.441 1.777
Ti 3.777 -3.014 0.000
Ti 5.650 -1.441 1.777
Fe 3.255 2.036 2.084
Fe 3.255 -2.036 2.084
```

***

Density functional theory data (GGA-PBE) for a relaxed TaTiFe4 crystal.

Summary:
Size of the total moment, μB per formula unit: 1.34
Fermi-level density of states, states/eV/cell: 12.98
Excess energy over the best structure of this formula in the dataset, meV/atom: 17
Energy of formation, eV per atom: -0.232

Structure (extended XYZ):
```
12
Lattice="4.725 0.000 0.000 -2.363 4.092 0.000 0.000 0.000 7.814" Properties=species:S:1:pos:R:3 pbc="T T T"
Ta 0.000 2.728 3.358
Ta 2.363 1.364 4.456
Ti 0.000 2.728 0.477
Ti 2.363 1.364 7.336
Fe 0.000 0.000 0.000
Fe 0.000 0.000 3.907
Fe 0.000 1.397 5.871
Fe -1.153 3.394 5.871
Fe 1.210 0.698 1.942
Fe 1.153 3.394 5.871
Fe 3.515 0.698 1.942
Fe 2.363 2.695 1.942
```

***

Density functional theory data (GGA-PBE) for a relaxed TaTi5Fe4 crystal.

Summary:
Size of the total moment, μB per formula unit: 0.00
Fermi-level density of states, states/eV/cell: 6.05
Energy of formation, eV per atom: -0.310

Structure (extended XYZ):
```
10
Lattice="2.962 0.000 0.000 0.000 2.962 0.000 0.000 0.000 15.769" Properties=species:S:1:pos:R:3 pbc="T T T"
Ta 0.000 0.000 0.000
Ti 1.481 1.481 1.983
Ti 1.481 1.481 4.931
Ti 1.481 1.481 7.884
Ti 1.481 1.481 10.838
Ti 1.481 1.481 13.786
Fe 0.000 0.000 3.453
Fe 0.000 0.000 6.409
Fe 0.000 0.000 9.360
Fe 0.000 0.000 12.316
```

***

Density functional theory data (GGA-PBE) for a relaxed TaTi2Fe2 crystal.

Summary:
Size of the total moment, μB per formula unit: 0.38
Fermi-level density of states, states/eV/cell: 5.86
Excess energy over the best structure of this formula in the dataset, meV/atom: 27
Energy of formation, eV per atom: -0.030

Structure (extended XYZ):
```
5
Lattice="1.461 -9.003 0.000 1.461 9.003 0.000 0.000 0.000 2.877" Properties=species:S:1:pos:R:3 pbc="T T T"
Ta 0.000 0.000 0.000
Ti 1.461 5.855 0.000
Ti 1.461 -5.855 0.000
Fe 1.461 1.591 1.439
Fe 1.461 -1.591 1.439
```

***

Density functional theory data (GGA-PBE) for a relaxed TaTi2Fe crystal.

Summary:
Size of the total moment, μB per formula unit: 0.00
Fermi-level density of states, states/eV/cell: 6.21
Excess energy over the best structure of this formula in the dataset, meV/atom: 172
Energy of formation, eV per atom: 0.015

Structure (extended XYZ):
```
4
Lattice="4.424 0.000 0.000 0.000 4.424 0.000 0.000 0.000 3.133" Properties=species:S:1:pos:R:3 pbc="T T T"
Ta 0.000 0.000 0.000
Ti 0.000 2.212 1.567
Ti 2.212 0.000 1.567
Fe 2.212 2.212 0.000
```

***

Density functional theory data (GGA-PBE) for a relaxed Ta2TiFe2 crystal.

Summary:
Size of the total moment, μB per formula unit: 0.00
Fermi-level density of states, states/eV/cell: 17.47
Excess energy over the best structure of this formula in the dataset, meV/atom: 0
Energy of formation, eV per atom: -0.029

Structure (extended XYZ):
```
10
Lattice="6.984 0.000 0.000 0.000 6.984 0.000 0.000 0.000 3.072" Properties=species:S:1:pos:R:3 pbc="T T T"
Ta 1.161 2.330 0.000
Ta 2.330 5.822 0.000
Ta 4.653 1.161 0.000
Ta 5.822 4.653 0.000
Ti 0.000 0.000 1.536
Ti 3.492 3.492 1.536
Fe 0.923 4.415 1.536
Fe 2.568 0.923 1.536
Fe 4.415 6.060 1.536
Fe 6.060 2.568 1.536
```

***

Density functional theory data (GGA-PBE) for a relaxed TaTiFe3 crystal.

Summary:
Size of the total moment, μB per formula unit: 1.05
Fermi-level density of states, states/eV/cell: 3.20
Excess energy over the best structure of this formula in the dataset, meV/atom: 0
Energy of formation, eV per atom: 0.970

Structure (extended XYZ):
```
5
Lattice="4.178 0.000 0.000 0.000 4.178 0.000 0.000 0.000 4.178" Properties=species:S:1:pos:R:3 pbc="T T T"
Ta 0.000 0.000 0.000
Ti 2.089 2.089 2.089
Fe 0.000 2.089 2.089
Fe 2.089 0.000 2.089
Fe 2.089 2.089 0.000
```

***

Density functional theory data (GGA-PBE) for a relaxed Ta2TiFe2 crystal.

Summary:
Size of the total moment, μB per formula unit: 1.30
Fermi-level density of states, states/eV/cell: 7.03
Excess energy over the best structure of this formula in the dataset, meV/atom: 137
Energy of formation, eV per atom: 0.108

Structure (extended XYZ):
```
10
Lattice="7.305 0.000 0.000 0.000 7.305 0.000 0.000 0.000 2.850" Properties=species:S:1:pos:R:3 pbc="T T T"
Ta 1.107 2.545 0.000
Ta 2.545 6.198 0.000
Ta 4.760 1.107 0.000
Ta 6.198 4.760 0.000
Ti 0.000 0.000 0.000
Ti 3.653 3.653 0.000
Fe 1.066 4.718 1.425
Fe 2.587 1.066 1.425
Fe 4.718 6.240 1.425
Fe 6.240 2.587 1.425
```

***

Density functional theory data (GGA-PBE) for a relaxed TaTi3Fe crystal.

Summary:
Size of the total moment, μB per formula unit: 0.10
Fermi-level density of states, states/eV/cell: 12.59
Excess energy over the best structure of this formula in the dataset, meV/atom: 1658
Energy of formation, eV per atom: 1.549

Structure (extended XYZ):
```
5
Lattice="4.715 0.000 0.000 0.000 4.715 0.000 0.000 0.000 4.715" Properties=species:S:1:pos:R:3 pbc="T T T"
Ta 0.000 0.000 0.000
Ti 0.000 0.000 2.358
Ti 0.000 2.358 0.000
Ti 2.358 0.000 0.000
Fe 2.358 2.358 2.358
```

***

Density functional theory data (GGA-PBE) for a relaxed Ta5TiFe6 crystal.

Summary:
Size of the total moment, μB per formula unit: 4.26
Fermi-level density of states, states/eV/cell: 9.05
Energy of formation, eV per atom: -0.194

Structure (extended XYZ):
```
12
Lattice="-2.156 3.048 6.472 2.156 -3.048 6.472 2.156 3.048 -6.472" Properties=species:S:1:pos:R:3 pbc="T T T"
Ta 0.000 0.000 0.000
Ta 2.156 0.000 2.153
Ta 0.000 0.000 4.327
Ta 0.000 0.000 8.617
Ta 0.000 3.048 4.319
Ti 0.000 3.048 0.000
Fe 2.156 -1.516 4.327
Fe 2.156 1.539 0.000
Fe 0.000 1.532 2.145
Fe 2.156 1.516 4.327
Fe 0.000 1.509 6.472
Fe 0.000 4.564 2.145
```

***

Density functional theory data (GGA-PBE) for a relaxed TaTiFe4 crystal.

Summary:
Size of the total moment, μB per formula unit: 5.87
Fermi-level density of states, states/eV/cell: 6.29
Excess energy over the best structure of this formula in the dataset, meV/atom: 0
Energy of formation, eV per atom: -0.249

Structure (extended XYZ):
```
6
Lattice="0.000 3.392 3.392 3.392 0.000 3.392 3.392 3.392 0.000" Properties=species:S:1:pos:R:3 pbc="T T T"
Ta 0.000 0.000 0.000
Ti 5.088 5.088 5.088
Fe 2.545 2.545 2.545
Fe 4.239 4.239 2.545
Fe 4.239 2.545 4.239
Fe 2.545 4.239 4.239
```

***

Density functional theory data (GGA-PBE) for a relaxed Ta2Ti4Fe crystal.

Summary:
Size of the total moment, μB per formula unit: 0.00
Fermi-level density of states, states/eV/cell: 10.29
Energy of formation, eV per atom: 0.669

Structure (extended XYZ):
```
7
Lattice="-2.162 2.162 6.886 2.162 -2.162 6.886 2.162 2.162 -6.886" Properties=species:S:1:pos:R:3 pbc="T T T"
Ta 0.000 0.000 1.803
Ta 0.000 0.000 11.969
Ti 2.162 0.000 0.000
Ti 0.000 0.000 4.457
Ti 0.000 2.162 0.000
Ti 0.000 0.000 9.314
Fe 0.000 0.000 6.886
```

***

Density functional theory data (GGA-PBE) for a relaxed Ta2TiFe3 crystal.

Summary:
Size of the total moment, μB per formula unit: 1.73
Fermi-level density of states, states/eV/cell: 4.34
Energy of formation, eV per atom: -0.233

Structure (extended XYZ):
```
6
Lattice="3.026 0.000 0.000 0.000 3.026 0.000 0.000 0.000 9.123" Properties=species:S:1:pos:R:3 pbc="T T T"
Ta 0.000 0.000 1.557
Ta 0.000 0.000 7.566
Ti 0.000 0.000 4.561
Fe 1.513 1.513 0.000
Fe 1.513 1.513 3.084
Fe 1.513 1.513 6.039
```

***

Density functional theory data (GGA-PBE) for a relaxed Ta2Ti5Fe2W crystal.

Summary:
Size of the total moment, μB per formula unit: 0.00
Fermi-level density of states, states/eV/cell: 26.94
Energy of formation, eV per atom: -0.001

Structure (extended XYZ):
```
20
Lattice="10.040 0.000 0.000 0.000 10.040 0.000 0.000 0.000 3.148" Properties=species:S:1:pos:R:3 pbc="T T T"
Ta 1.800 3.220 0.000
Ta 3.220 8.240 0.000
Ta 6.821 1.800 0.000
Ta 8.240 6.821 0.000
Ti 0.000 5.020 1.574
Ti 0.598 7.973 1.574
Ti 2.067 0.598 1.574
Ti 2.953 5.618 1.574
Ti 4.422 2.953 1.574
Ti 5.020 0.000 1.574
Ti 5.618 7.088 1.574
Ti 7.088 4.422 1.574
Ti 7.973 9.443 1.574
Ti 9.443 2.067 1.574
Fe 1.235 6.255 0.000
Fe 3.785 1.235 0.000
Fe 6.255 8.806 0.000
Fe 8.806 3.785 0.000
W 0.000 0.000 0.000
W 5.020 5.020 0.000
```

***

Density functional theory data (GGA-PBE) for a relaxed TaTiFeW crystal.

Summary:
Size of the total moment, μB per formula unit: 0.00
Fermi-level density of states, states/eV/cell: 2.93
Energy of formation, eV per atom: -0.110

Structure (extended XYZ):
```
4
Lattice="0.000 3.118 3.118 3.118 0.000 3.118 3.118 3.118 0.000" Properties=species:S:1:pos:R:3 pbc="T T T"
Ta 0.000 0.000 0.000
Ti 3.118 3.118 3.118
Fe 4.678 4.678 4.678
W 1.559 1.559 1.559
```

***

Density functional theory data (GGA-PBE) for a relaxed Ta2TlFe crystal.

Summary:
Size of the total moment, μB per formula unit: 0.00
Fermi-level density of states, states/eV/cell: 8.26
Excess energy over the best structure of this formula in the dataset, meV/atom: 403
Energy of formation, eV per atom: 0.640

Structure (extended XYZ):
```
8
Lattice="-3.725 3.725 2.703 3.725 -3.725 2.703 3.725 3.725 -2.703" Properties=species:S:1:pos:R:3 pbc="T T T"
Ta 1.862 1.361 -0.676
Ta 2.363 -1.862 3.379
Ta 1.862 2.363 2.027
Ta 1.361 5.587 0.676
Tl 3.725 0.000 1.351
Tl 0.000 0.000 2.703
Fe 0.000 0.000 0.000
Fe 0.000 3.725 1.351
```

***

Density functional theory data (GGA-PBE) for a relaxed Ta3TlFe crystal.

Summary:
Size of the total moment, μB per formula unit: 0.89
Fermi-level density of states, states/eV/cell: 11.66
Excess energy over the best structure of this formula in the dataset, meV/atom: 2277
Energy of formation, eV per atom: 2.962

Structure (extended XYZ):
```
5
Lattice="5.023 0.000 0.000 0.000 5.023 0.000 0.000 0.000 5.023" Properties=species:S:1:pos:R:3 pbc="T T T"
Ta 0.000 0.000 2.512
Ta 0.000 2.512 0.000
Ta 2.512 0.000 0.000
Tl 0.000 0.000 0.000
Fe 2.512 2.512 2.512
```

***

Density functional theory data (GGA-PBE) for a relaxed TaTlFe2 crystal.

Summary:
Size of the total moment, μB per formula unit: 4.74
Fermi-level density of states, states/eV/cell: 3.85
Energy of formation, eV per atom: 0.519

Structure (extended XYZ):
```
4
Lattice="1.508 0.871 8.566 -1.508 0.871 8.566 0.000 -1.741 8.566" Properties=species:S:1:pos:R:3 pbc="T T T"
Ta 0.000 0.000 0.000
Tl 0.000 0.000 19.718
Fe 0.000 0.000 6.569
Fe 0.000 0.000 13.433
```

***

Density functional theory data (GGA-PBE) for a relaxed TaTlFe2 crystal.

Summary:
Size of the total moment, μB per formula unit: 2.85
Fermi-level density of states, states/eV/cell: 5.75
Energy of formation, eV per atom: 0.483

Structure (extended XYZ):
```
4
Lattice="1.532 0.884 8.194 -1.532 0.884 8.194 0.000 -1.769 8.194" Properties=species:S:1:pos:R:3 pbc="T T T"
Ta 0.000 0.000 0.000
Tl 0.000 0.000 12.291
Fe 0.000 0.000 6.329
Fe 0.000 0.000 18.253
```

***

Density functional theory data (GGA-PBE) for a relaxed Ta2TlFe crystal.

Summary:
Size of the total moment, μB per formula unit: 0.00
Fermi-level density of states, states/eV/cell: 3.49
Excess energy over the best structure of this formula in the dataset, meV/atom: 143
Energy of formation, eV per atom: 0.381

Structure (extended XYZ):
```
4
Lattice="4.113 0.000 0.000 0.000 1.532 5.773 0.000 -1.532 5.773" Properties=species:S:1:pos:R:3 pbc="T T T"
Ta 0.000 0.000 0.000
Ta 2.057 0.000 4.347
Tl 2.057 0.000 7.442
Fe 0.000 0.000 9.251
```

***

Density functional theory data (GGA-PBE) for a relaxed TaTlFe2 crystal.

Summary:
Size of the total moment, μB per formula unit: 0.19
Fermi-level density of states, states/eV/cell: 1.47
Energy of formation, eV per atom: 0.243

Structure (extended XYZ):
```
4
Lattice="3.116 0.000 0.000 0.000 3.116 0.000 0.000 0.000 6.238" Properties=species:S:1:pos:R:3 pbc="T T T"
Ta 0.000 0.000 0.000
Tl 0.000 0.000 3.119
Fe 1.558 1.558 1.390
Fe 1.558 1.558 4.848
```

***

Density functional theory data (GGA-PBE) for a relaxed Ta2TlFe crystal.

Summary:
Size of the total moment, μB per formula unit: 2.38
Fermi-level density of states, states/eV/cell: 5.78
Excess energy over the best structure of this formula in the dataset, meV/atom: 266
Energy of formation, eV per atom: 0.504

Structure (extended XYZ):
```
4
Lattice="-2.026 2.026 4.324 2.026 -2.026 4.324 2.026 2.026 -4.324" Properties=species:S:1:pos:R:3 pbc="T T T"
Ta 0.000 0.000 0.000
Ta 0.000 2.026 2.162
Tl 2.026 0.000 2.162
Fe 0.000 0.000 4.324
```

***

Density functional theory data (GGA-PBE) for a relaxed Ta2TlFe crystal.

Summary:
Size of the total moment, μB per formula unit: 0.92
Fermi-level density of states, states/eV/cell: 2.72
Excess energy over the best structure of this formula in the dataset, meV/atom: 39
Energy of formation, eV per atom: 0.277

Structure (extended XYZ):
```
4
Lattice="3.118 0.000 0.000 0.000 3.118 0.000 0.000 0.000 7.350" Properties=species:S:1:pos:R:3 pbc="T T T"
Ta 0.000 0.000 0.000
Ta 1.559 1.559 1.940
Tl 0.000 0.000 4.177
Fe 1.559 1.559 6.100
```